Entry 1:
! AcGdTmMg | Alexandria via LeMat-Bulk | GGA-PBE | optimized geometry; values from VASP
! DOS(E_F)   5.50 states/eV/f.u.
! Space-group type   No. 216
! ρ   7.36 Mg/m³
! Formation enthalpy at 0 K   37.7 meV/atom
&SYSTEM
  ibrav = 0, nat = 4, ntyp = 4
/
ATOMIC_SPECIES
Ac 227.00 Ac.upf
Gd 157.25 Gd.upf
Tm 168.93 Tm.upf
Mg 24.30 Mg.upf
CELL_PARAMETERS angstrom
5.691 0.000 0.000
2.846 4.929 0.000
2.846 1.643 4.647
ATOMIC_POSITIONS angstrom
Ac 2.846 1.643 1.162
Gd 8.537 4.929 3.485
Tm 5.691 3.286 2.323
Mg 0.000 0.000 0.000

Entry 2:
! AcGdMgZn | Alexandria via LeMat-Bulk | GGA-PBE | optimized geometry; values from VASP
! DOS(E_F)   4.61 states/eV/f.u.
! Space-group type   No. 216
! ρ   6.80 Mg/m³
! Formation enthalpy at 0 K   -131.2 meV/atom
&SYSTEM
  ibrav = 0, nat = 4, ntyp = 4
/
ATOMIC_SPECIES
Zn 65.41 Zn.upf
Mg 24.30 Mg.upf
Ac 227.00 Ac.upf
Gd 157.25 Gd.upf
CELL_PARAMETERS angstrom
5.470 0.000 0.000
2.735 4.737 0.000
2.735 1.579 4.467
ATOMIC_POSITIONS angstrom
Zn 0.000 0.000 0.000
Mg 5.470 3.158 2.233
Ac 8.206 4.737 3.350
Gd 2.735 1.579 1.117